Record 1
! SrLa2In PBE-GGA relaxed; values from VASP
! Magnetic moment = 0.62 μB/cell
! Formation energy from the elements = -0.054 eV/atom
! Symmetry = No. 166
&SYSTEM
  ibrav = 0, nat = 4, ntyp = 3
/
ATOMIC_SPECIES
Sr 87.62 Sr.upf
La 138.91 La.upf
In 114.82 In.upf
ATOMIC_POSITIONS crystal
Sr 0.000 0.000 0.000
La 0.235 0.235 0.235
La 0.765 0.765 0.765
In 0.500 0.500 0.500
CELL_PARAMETERS angstrom
1.962 1.133 11.892
-1.962 1.133 11.892
0.000 -2.266 11.892

=====

Record 2
! AcPmSiAs PBE-GGA relaxed; values from VASP
! Magnetic moment = 0.00 μB/cell
! Symmetry = No. 216
! Formation energy (no corrections) = -2.59 eV per formula unit
&SYSTEM
  ibrav = 0, nat = 4, ntyp = 4
/
ATOMIC_SPECIES
Ac 227.00 Ac.upf
Pm 145.00 Pm.upf
Si 28.09 Si.upf
As 74.92 As.upf
ATOMIC_POSITIONS crystal
Ac 0.000 0.000 0.000
Pm 0.500 0.500 0.500
Si 0.250 0.250 0.250
As 0.750 0.750 0.750
CELL_PARAMETERS angstrom
0.000 3.766 3.766
3.766 0.000 3.766
3.766 3.766 0.000

=====

Record 3
! ZrIrPt4 PBE-GGA relaxed; values from VASP
! Magnetic moment = 0.00 μB/cell
! Formation energy from the elements = -0.348 eV/atom
! Symmetry = No. 216
&SYSTEM
  ibrav = 0, nat = 6, ntyp = 3
/
ATOMIC_SPECIES
Zr 91.22 Zr.upf
Ir 192.22 Ir.upf
Pt 195.08 Pt.upf
ATOMIC_POSITIONS crystal
Zr 0.000 0.000 0.000
Ir 0.750 0.750 0.750
Pt 0.376 0.376 0.376
Pt 0.376 0.376 0.873
Pt 0.376 0.873 0.376
Pt 0.873 0.376 0.376
CELL_PARAMETERS angstrom
0.000 3.702 3.702
3.702 0.000 3.702
3.702 3.702 0.000

=====

Record 4
! LaPb2ClO4 PBE-GGA relaxed; values from VASP
! Magnetic moment = 0.00 μB/cell
! Symmetry = No. 123
! Formation energy (no corrections) = -13.25 eV per formula unit
&SYSTEM
  ibrav = 0, nat = 8, ntyp = 4
/
ATOMIC_SPECIES
La 138.91 La.upf
Pb 207.20 Pb.upf
Cl 35.45 Cl.upf
O 16.00 O.upf
ATOMIC_POSITIONS crystal
La 0.000 0.000 0.000
Pb 0.500 0.500 0.279
Pb 0.500 0.500 0.721
Cl 0.000 0.000 0.500
O 0.000 0.500 0.161
O 0.000 0.500 0.839
O 0.500 0.000 0.161
O 0.500 0.000 0.839
CELL_PARAMETERS angstrom
4.086 0.000 0.000
0.000 4.086 0.000
0.000 0.000 9.007

=====

Record 5
! TaSiTc2 PBE-GGA relaxed; values from VASP
! Magnetic moment = 0.00 μB/cell
! Symmetry = No. 65
! Formation energy (no corrections) = -0.60 eV per formula unit
&SYSTEM
  ibrav = 0, nat = 4, ntyp = 3
/
ATOMIC_SPECIES
Ta 180.95 Ta.upf
Si 28.09 Si.upf
Tc 98.00 Tc.upf
ATOMIC_POSITIONS crystal
Ta 0.000 0.000 0.000
Si 0.000 0.000 0.500
Tc 0.500 0.500 0.270
Tc 0.500 0.500 0.730
CELL_PARAMETERS angstrom
1.613 -2.366 0.000
1.613 2.366 0.000
0.000 0.000 7.942

=====

Record 6
! Pm3ZnCo PBE-GGA relaxed; values from VASP
! Magnetic moment = 0.00 μB/cell
! Energy above the most stable polymorph in this dataset = 0.0000 eV/atom
! Formation energy from the elements = -0.141 eV/atom
! Symmetry = No. 1
&SYSTEM
  ibrav = 0, nat = 10, ntyp = 3
/
ATOMIC_SPECIES
Pm 145.00 Pm.upf
Zn 65.41 Zn.upf
Co 58.93 Co.upf
ATOMIC_POSITIONS crystal
Pm 0.000 0.000 0.000
Pm 0.108 0.216 0.602
Pm 0.300 0.600 0.002
Pm 0.452 0.904 0.349
Pm 0.656 0.312 0.253
Pm 0.809 0.616 0.600
Zn 0.457 0.916 0.724
Zn 0.650 0.300 0.879
Co 0.274 0.547 0.361
Co 0.835 0.670 0.241
CELL_PARAMETERS angstrom
3.788 0.000 0.000
-1.894 8.087 0.000
-0.009 -0.277 8.431

=====

Record 7
! KDyP4O12 PBE-GGA relaxed; values from VASP
! Magnetic moment = 0.00 μB/cell
! Symmetry = No. 14
! Formation energy (no corrections) = -44.21 eV per formula unit
&SYSTEM
  ibrav = 0, nat = 72, ntyp = 4
/
ATOMIC_SPECIES
K 39.10 K.upf
Dy 162.50 Dy.upf
P 30.97 P.upf
O 16.00 O.upf
ATOMIC_POSITIONS crystal
K 0.249 0.065 0.039
K 0.249 0.435 0.539
K 0.751 0.565 0.461
K 0.751 0.935 0.961
Dy 0.314 0.726 0.814
Dy 0.314 0.774 0.314
Dy 0.686 0.226 0.686
Dy 0.686 0.274 0.186
P 0.023 0.025 0.273
P 0.023 0.475 0.773
P 0.199 0.609 0.021
P 0.199 0.891 0.521
P 0.323 0.170 0.362
P 0.323 0.330 0.862
P 0.390 0.092 0.742
P 0.390 0.408 0.242
P 0.610 0.592 0.758
P 0.610 0.908 0.258
P 0.677 0.670 0.138
P 0.677 0.830 0.638
P 0.801 0.109 0.479
P 0.801 0.391 0.979
P 0.977 0.525 0.227
P 0.977 0.975 0.727
O 0.038 0.547 0.896
O 0.038 0.953 0.396
O 0.066 0.586 0.710
O 0.066 0.914 0.210
O 0.137 0.593 0.308
O 0.137 0.907 0.808
O 0.152 0.158 0.336
O 0.152 0.342 0.836
O 0.164 0.711 0.095
O 0.164 0.789 0.595
O 0.268 0.048 0.595
O 0.268 0.452 0.095
O 0.280 0.209 0.752
O 0.280 0.291 0.252
O 0.299 0.665 0.980
O 0.299 0.835 0.480
O 0.365 0.028 0.327
O 0.365 0.472 0.827
O 0.425 0.541 0.326
O 0.425 0.959 0.826
O 0.428 0.239 0.492
O 0.428 0.261 0.992
O 0.475 0.675 0.741
O 0.475 0.825 0.241
O 0.525 0.175 0.759
O 0.525 0.325 0.259
O 0.572 0.739 0.008
O 0.572 0.761 0.508
O 0.575 0.041 0.174
O 0.575 0.459 0.674
O 0.635 0.528 0.173
O 0.635 0.972 0.673
O 0.701 0.165 0.520
O 0.701 0.335 0.020
O 0.720 0.709 0.748
O 0.720 0.791 0.248
O 0.732 0.548 0.905
O 0.732 0.952 0.405
O 0.836 0.211 0.405
O 0.836 0.289 0.905
O 0.848 0.658 0.164
O 0.848 0.842 0.664
O 0.863 0.093 0.192
O 0.863 0.407 0.692
O 0.934 0.086 0.790
O 0.934 0.414 0.290
O 0.962 0.047 0.604
O 0.962 0.453 0.104
CELL_PARAMETERS angstrom
10.451 0.000 0.000
0.000 8.993 0.000
-7.343 0.000 10.496

=====

Record 8
! LaMgCoMo2 PBE-GGA relaxed; values from VASP
! Magnetic moment = 0.11 μB/cell
! Formation energy from the elements = 2.371 eV/atom
! Symmetry = No. 123
&SYSTEM
  ibrav = 0, nat = 5, ntyp = 4
/
ATOMIC_SPECIES
La 138.91 La.upf
Mg 24.30 Mg.upf
Co 58.93 Co.upf
Mo 95.94 Mo.upf
ATOMIC_POSITIONS crystal
La 0.000 0.000 0.000
Mg 0.000 0.000 0.500
Co 0.500 0.500 0.500
Mo 0.000 0.500 0.000
Mo 0.500 0.000 0.000
CELL_PARAMETERS angstrom
4.740 0.000 0.000
0.000 4.740 0.000
0.000 0.000 5.290